[1]
Here is AlPtPbAu after structural relaxation from OQMD. Energies are from PBE.

Excess energy over the best structure of this formula in the dataset   0.0 meV per atom
Electronic total energy   -4.25 eV/atom

Cell and atoms, written as POSCAR:
```
AlPtPbAu
1.0
0.000 3.393 3.393
3.393 0.000 3.393
3.393 3.393 0.000
Al Pt Pb Au
1 1 1 1
direct
0.000 0.000 0.000 Al
0.250 0.250 0.250 Pt
0.500 0.500 0.500 Pb
0.750 0.750 0.750 Au
```

=====

[2]
Here is Ho2TmAl3CuSn2 after structural relaxation from OQMD. Energies are from PBE.

Electronic total energy   -4.60 eV/atom

Cell and atoms, written as POSCAR:
```
Ho2TmAl3CuSn2
1.0
4.251 0.000 0.000
0.000 6.279 3.637
0.000 -6.279 3.637
Ho Tm Al Cu Sn
2 1 3 1 2
direct
0.000 0.193 0.807 Ho
0.000 0.807 0.193 Ho
0.000 0.580 0.580 Tm
0.500 0.194 0.418 Al
0.500 0.418 0.194 Al
0.500 0.971 0.971 Al
0.000 0.197 0.197 Cu
0.500 0.528 0.859 Sn
0.500 0.859 0.528 Sn
```

=====

[3]
Here is SmUCu after structural relaxation from OQMD. Energies are from PBE.

Excess energy over the best structure of this formula in the dataset   0.0 meV per atom
Electronic total energy   -5.77 eV/atom
Calculated formation energy   0.800 eV per atom

Cell and atoms, written as POSCAR:
```
SmUCu
1.0
0.000 3.365 3.365
3.365 0.000 3.365
3.365 3.365 0.000
Sm U Cu
1 1 1
direct
0.000 0.000 0.000 Sm
0.500 0.500 0.500 U
0.250 0.250 0.250 Cu
```

=====

[4]
Here is NiGe2Sb after structural relaxation from OQMD. Energies are from PBE.

Electronic total energy   -4.40 eV/atom

Cell and atoms, written as POSCAR:
```
NiGe2Sb
1.0
0.000 3.325 3.325
3.325 0.000 3.325
3.325 3.325 0.000
Ni Ge Sb
1 2 1
direct
0.000 0.000 0.000 Ni
0.500 0.500 0.500 Ge
0.750 0.750 0.750 Ge
0.250 0.250 0.250 Sb
```

=====

[5]
Here is ErTc2Ge2 after structural relaxation from OQMD. Energies are from PBE.

Excess energy over the best structure of this formula in the dataset   56.9 meV per atom
Electronic total energy   -7.29 eV/atom

Cell and atoms, written as POSCAR:
```
ErTc2Ge2
1.0
-2.070 2.070 5.275
2.070 -2.070 5.275
2.070 2.070 -5.275
Er Tc Ge
1 2 2
direct
0.000 0.000 0.000 Er
0.250 0.750 0.500 Tc
0.750 0.250 0.500 Tc
0.381 0.381 0.000 Ge
0.619 0.619 0.000 Ge
```

=====

[6]
Here is MgZnCuRe after structural relaxation from OQMD. Energies are from PBE.

Excess energy over the best structure of this formula in the dataset   0.0 meV per atom
Electronic total energy   -4.25 eV/atom

Cell and atoms, written as POSCAR:
```
MgZnCuRe
1.0
0.000 3.088 3.088
3.088 0.000 3.088
3.088 3.088 0.000
Mg Zn Cu Re
1 1 1 1
direct
0.000 0.000 0.000 Mg
0.500 0.500 0.500 Zn
0.750 0.750 0.750 Cu
0.250 0.250 0.250 Re
```

=====

[7]
Here is RbGaAgSb2 after structural relaxation from OQMD. Energies are from PBE.

Electronic total energy   -3.21 eV/atom

Cell and atoms, written as POSCAR:
```
RbGaAgSb2
1.0
-2.164 2.164 8.178
2.164 -2.164 8.178
2.164 2.164 -8.178
Rb Ga Ag Sb
1 1 1 2
direct
0.000 0.000 0.000 Rb
0.750 0.250 0.500 Ga
0.250 0.750 0.500 Ag
0.361 0.361 0.000 Sb
0.639 0.639 0.000 Sb
```

=====

[8]
Here is FeNiGe2 after structural relaxation from OQMD. Energies are from PBE.

Electronic total energy   -5.49 eV/atom

Cell and atoms, written as POSCAR:
```
FeNiGe2
1.0
0.000 3.040 3.040
3.040 0.000 3.040
3.040 3.040 0.000
Fe Ni Ge
1 1 2
direct
0.000 0.000 0.000 Fe
0.750 0.750 0.750 Ni
0.250 0.250 0.250 Ge
0.500 0.500 0.500 Ge
```